Mn2BO6 | PBE with a Hubbard U | relaxed

Cell lengths 4.3229, 4.3229, 8.3452 Å; angles 90.00, 90.00, 90.00 degrees
Last column: nearest neighbours and their distance in Å.
Space group P4_2/mnm (No. 136)
Asymmetric unit:
Mn1 0.0000 0.0000 0.1670 x4  6 O 1.90-1.95
B1 0.0000 0.0000 0.5000 x2  6 O 1.67-1.77
O1 0.1826 0.1826 0.3508 x8  1 B 1.67
O2 0.2112 0.2112 0.0000 x4  1 B 1.77, 2 Mn 1.90

## Properties
Total DFT energy (no corrections) (Ry/atom): -0.50029